HfZrPd: relaxed, GGA-PBE.

The space group is P4/nmm (129). The calculation puts the magnetization at 0.00 μB/f.u. Its calculated formation energy is -147 kJ/mol of formula units. The calculation puts the energy above the most stable polymorph in this dataset at 5.1 meV per atom.

Lattice parameters (Å, degrees): 3.319 3.319 10.742 90.00 90.00 90.00
Positions (direct):
Hf 0.250 0.250 0.091
Hf 0.750 0.750 0.909
Zr 0.250 0.250 0.406
Zr 0.750 0.750 0.594
Pd 0.250 0.250 0.754
Pd 0.750 0.750 0.246